! CsSbTeH3 (PBE, optimized geometry); values from VASP
! * symmetry: P1, No. 1
! * D(E_F): 0.08 states/eV per atom
! * raw total energy: -3.2558 eV per atom
! * energy relative to the lowest polymorph listed for this composition: 0.00 eV per formula unit
! * M_tot: 0.000 μB per formula unit
&SYSTEM
  ibrav = 0, nat = 6, ntyp = 4
/
ATOMIC_SPECIES
Cs 132.91 Cs.upf
Sb 121.76 Sb.upf
Te 127.60 Te.upf
H 1.01 H.upf
ATOMIC_POSITIONS angstrom
Cs 0.000 0.000 0.000
Sb 2.523 3.939 2.654
Te 5.122 2.631 3.019
H 2.523 4.660 4.259
H 2.605 1.971 0.317
H 2.603 2.000 5.436
CELL_PARAMETERS angstrom
5.191 0.000 0.000
-0.071 5.422 0.000
-0.001 -0.100 5.867